(1)
# PBE Na2In4Hg5, relaxed
# Size of the total moment: 0.00 μB per cell
# Calculated density: 8.6 g cm⁻³
data_Na2In4Hg5
_chemical_formula_sum 'Na4 In8 Hg10'
_symmetry_space_group_name_H-M 'P b a m'
_symmetry_Int_Tables_number 55
_cell_length_a 5.2914
_cell_length_b 31.7180
_cell_length_c 3.4640
_cell_angle_alpha 90.00
_cell_angle_beta 90.00
_cell_angle_gamma 90.00
loop_
_symmetry_equiv_pos_as_xyz
'x,y,z'
'-x,-y,-z'
'-x,-y,z'
'x,y,-z'
'x+1/2,-y+1/2,-z'
'-x+1/2,y+1/2,z'
'-x+1/2,y+1/2,-z'
'x+1/2,-y+1/2,z'
loop_
_atom_site_label
_atom_site_type_symbol
_atom_site_fract_x
_atom_site_fract_y
_atom_site_fract_z
_atom_site_occupancy
Na1 Na 0.2462 0.1958 0.0000 1
In1 In 0.0902 0.9550 0.0000 1
In2 In 0.2399 0.3646 0.0000 1
Hg1 Hg 0.0000 0.5000 0.5000 1
Hg2 Hg 0.2154 0.6030 0.5000 1
Hg3 Hg 0.2470 0.7794 0.5000 1

(2)
# PBE Na2In4Hg5, relaxed
# Size of the total moment: 0.00 μB per cell
# Calculated density: 8.4 g cm⁻³
data_Na2In4Hg5
_chemical_formula_sum 'Na4 In8 Hg10'
_symmetry_space_group_name_H-M 'C 1 2/m 1'
_symmetry_Int_Tables_number 12
_cell_length_a 11.1319
_cell_length_b 6.6450
_cell_length_c 9.0498
_cell_angle_alpha 90.00
_cell_angle_beta 116.91
_cell_angle_gamma 90.00
loop_
_symmetry_equiv_pos_as_xyz
'x,y,z'
'-x,-y,-z'
'-x,y,-z'
'x,-y,z'
'x+1/2,y+1/2,z'
'-x+1/2,-y+1/2,-z'
'-x+1/2,y+1/2,-z'
'x+1/2,-y+1/2,z'
loop_
_atom_site_label
_atom_site_type_symbol
_atom_site_fract_x
_atom_site_fract_y
_atom_site_fract_z
_atom_site_occupancy
Na1 Na 0.0809 0.0000 0.2687 1
In1 In 0.1050 0.5000 0.3684 1
In2 In 0.2405 0.0000 0.0187 1
Hg1 Hg 0.0000 0.5000 0.0000 1
Hg2 Hg 0.1520 0.2312 0.6638 1

Most stable structure, least stable structure: (2), (1).

(1)
# PBE Na2In3Hg4, relaxed
# Size of the total moment: 0.00 μB per cell
# Calculated density: 8.6 g cm⁻³
data_Na2In3Hg4
_chemical_formula_sum 'Na4 In6 Hg8'
_symmetry_space_group_name_H-M 'C 1 2/m 1'
_symmetry_Int_Tables_number 12
_cell_length_a 9.2259
_cell_length_b 5.1229
_cell_length_c 9.7458
_cell_angle_alpha 90.00
_cell_angle_beta 95.04
_cell_angle_gamma 90.00
loop_
_symmetry_equiv_pos_as_xyz
'x,y,z'
'-x,-y,-z'
'-x,y,-z'
'x,-y,z'
'x+1/2,y+1/2,z'
'-x+1/2,-y+1/2,-z'
'-x+1/2,y+1/2,-z'
'x+1/2,-y+1/2,z'
loop_
_atom_site_label
_atom_site_type_symbol
_atom_site_fract_x
_atom_site_fract_y
_atom_site_fract_z
_atom_site_occupancy
Na1 Na 0.1666 0.0000 0.2201 1
In1 In 0.0000 0.5000 0.0000 1
In2 In 0.1673 0.0000 0.5721 1
Hg1 Hg 0.0011 0.5000 0.3323 1
Hg2 Hg 0.1655 0.0000 0.8942 1

(2)
# PBE Na2In3Hg4, relaxed
# Size of the total moment: 0.00 μB per cell
# Calculated density: 8.0 g cm⁻³
data_Na2In3Hg4
_chemical_formula_sum 'Na8 In12 Hg16'
_symmetry_space_group_name_H-M 'C m c e'
_symmetry_Int_Tables_number 64
_symmetry_space_group_name_Hall '-C 2ac 2'
_cell_length_a 6.3445
_cell_length_b 16.2656
_cell_length_c 9.6204
_cell_angle_alpha 90.00
_cell_angle_beta 90.00
_cell_angle_gamma 90.00
loop_
_atom_site_label
_atom_site_type_symbol
_atom_site_fract_x
_atom_site_fract_y
_atom_site_fract_z
_atom_site_occupancy
Na1 Na 0.0000 0.1140 0.0622 1
In1 In 0.0000 0.0000 0.5000 1
In2 In 0.2500 0.2166 0.7500 1
Hg1 Hg 0.0000 0.1841 0.4667 1
Hg2 Hg 0.2500 0.0324 0.7500 1

Most stable structure, least stable structure: (1), (2).

(1)
# PBE Na3In5Hg2, relaxed
# Size of the total moment: 0.00 μB per cell
# Calculated density: 5.9 g cm⁻³
data_Na3In5Hg2
_chemical_formula_sum 'Na12 In20 Hg8'
_symmetry_space_group_name_H-M 'I b a m'
_symmetry_Int_Tables_number 72
_symmetry_space_group_name_Hall '-I 2 2c'
_cell_length_a 13.0202
_cell_length_b 13.4095
_cell_length_c 6.7254
_cell_angle_alpha 90.00
_cell_angle_beta 90.00
_cell_angle_gamma 90.00
loop_
_atom_site_label
_atom_site_type_symbol
_atom_site_fract_x
_atom_site_fract_y
_atom_site_fract_z
_atom_site_occupancy
Na1 Na 0.0000 0.0000 0.2500 1
Na2 Na 0.1210 0.2551 0.0000 1
In1 In 0.0000 0.5000 0.2500 1
In2 In 0.1286 0.3580 0.5000 1
In3 In 0.2451 0.0000 0.2500 1
Hg1 Hg 0.1332 0.1481 0.5000 1

(2)
# PBE Na3In5Hg2, relaxed
# Size of the total moment: 0.00 μB per cell
# Calculated density: 5.8 g cm⁻³
data_Na3In5Hg2
_chemical_formula_sum 'Na12 In20 Hg8'
_symmetry_space_group_name_H-M 'I b a m'
_symmetry_Int_Tables_number 72
_symmetry_space_group_name_Hall '-I 2 2c'
_cell_length_a 9.3261
_cell_length_b 13.2298
_cell_length_c 9.6513
_cell_angle_alpha 90.00
_cell_angle_beta 90.00
_cell_angle_gamma 90.00
loop_
_atom_site_label
_atom_site_type_symbol
_atom_site_fract_x
_atom_site_fract_y
_atom_site_fract_z
_atom_site_occupancy
Na1 Na 0.0000 0.0000 0.2500 1
Na2 Na 0.2366 0.3629 0.0000 1
In1 In 0.0000 0.2586 0.2500 1
In2 In 0.0000 0.5000 0.2500 1
In3 In 0.1248 0.3896 0.5000 1
Hg1 Hg 0.0680 0.1341 0.0000 1

Most stable structure, least stable structure: (1), (2).